(1)
Density functional theory data (PBE) for crystalline GaSbMo3 at its relaxed geometry.

Cell and atoms, written as POSCAR:
```
GaSbMo3
1.0
4.631 0.000 0.000
0.000 4.631 0.000
0.000 0.000 4.631
Ga Sb Mo
1 1 3
direct
0.000 0.000 0.000
0.500 0.500 0.500
0.000 0.000 0.500
0.000 0.500 0.000
0.500 0.000 0.000
```

Properties
symmetry: Pm-3m, No. 221
ΔE to the lowest computed polymorph: 0 kJ/mol of formula units
uncorrected energy: -6.579 eV per atom

(2)
Density functional theory data (PBE) for crystalline SmHoCuPb at its relaxed geometry.

Cell and atoms, written as POSCAR:
```
SmHoCuPb
1.0
0.000 3.708 3.708
3.708 0.000 3.708
3.708 3.708 0.000
Sm Ho Cu Pb
1 1 1 1
direct
0.000 0.000 0.000
0.500 0.500 0.500
0.250 0.250 0.250
0.750 0.750 0.750
```

Properties
ΔE_f: -0.295 eV per atom
symmetry: F-43m, No. 216
uncorrected energy: -4.570 eV per atom

(3)
Density functional theory data (PBE) for crystalline SmHf2Zr at its relaxed geometry.

Cell and atoms, written as POSCAR:
```
SmHf2Zr
1.0
3.780 0.000 0.000
0.000 3.780 0.000
0.000 0.000 7.045
Sm Hf Zr
1 2 1
direct
0.000 0.000 0.000
0.500 0.500 0.291
0.500 0.500 0.709
0.000 0.000 0.500
```

Properties
ΔE_f: 0.168 eV per atom
symmetry: P4/mmm, No. 123
ΔE to the lowest computed polymorph: 7 kJ/mol of formula units
uncorrected energy: -8.126 eV per atom

Please write out number 2 again, unchanged.
Density functional theory data (PBE) for crystalline SmHoCuPb at its relaxed geometry.

Cell and atoms, written as POSCAR:
```
SmHoCuPb
1.0
0.000 3.708 3.708
3.708 0.000 3.708
3.708 3.708 0.000
Sm Ho Cu Pb
1 1 1 1
direct
0.000 0.000 0.000
0.500 0.500 0.500
0.250 0.250 0.250
0.750 0.750 0.750
```

Properties
ΔE_f: -0.295 eV per atom
symmetry: F-43m, No. 216
uncorrected energy: -4.570 eV per atom

Q: The highest uncorrected energy belongs to which entry?
A: SmHoCuPb

Q: What is the formula in the first record?
A: GaSbMo3